No. 1
The following is a DFT calculation (PBE) of a relaxed structure of Pm6P2HSe3.

Cell: 17.9637 4.1223 8.2600 Å, 90.00 104.48 90.00°
Closest atoms and distances in Å follow each position.
Space group C2/m (No. 12)
One atom of each set of equivalent atoms:
Pm 0.0028 0.0000 0.2468 (multiplicity 4)  1 P 2.81, 2 H 2.89, 3 Se 2.95-2.96
Pm 0.1648 0.5000 0.0945 (multiplicity 4)  2 P 2.83, 1 H 2.87, 3 Se 2.92-2.99
Pm 0.1718 0.5000 0.5726 (multiplicity 4)  3 P 2.86, 3 Se 2.99-3.00
P 0.1641 0.0000 0.3295 (multiplicity 4)  6 Pm 2.81-2.86
H 0.0000 0.5000 0.0000 (multiplicity 2)  6 Pm 2.87-2.89
Se 0.0000 0.5000 0.5000 (multiplicity 2)  6 Pm 2.95-2.99
Se 0.1674 0.0000 0.8338 (multiplicity 4)  6 Pm 2.92-3.00

Summary:
Total magnetization in μB/f.u.: 0.000
Total DFT energy (no corrections) in eV/atom: -5.937



No. 2
The following is a DFT calculation (PBE) of a relaxed structure of Pm4PHSe2.

Cell: 6.9783 4.0865 7.1494 Å, 90.00 108.83 90.00°
Closest atoms and distances in Å follow each position.
Space group P2/m (No. 10)
One atom of each set of equivalent atoms:
Pm 0.2429 0.0000 0.2309 (multiplicity 2)  1 H 2.80, 2 P 2.82, 3 Se 2.95-2.98
Pm 0.2502 0.5000 0.7616 (multiplicity 2)  1 P 2.81, 2 H 2.86, 3 Se 2.93-2.94
P 0.0000 0.5000 0.0000 (multiplicity 1)  6 Pm 2.81-2.82
H 0.5000 0.0000 0.0000 (multiplicity 1)  6 Pm 2.80-2.86
Se 0.0000 0.0000 0.5000 (multiplicity 1)  6 Pm 2.93-2.95
Se 0.5000 0.5000 0.5000 (multiplicity 1)  6 Pm 2.94-2.98

Summary:
Total magnetization in μB/f.u.: 0.000
Total DFT energy (no corrections) in eV/atom: -5.725



No. 3
The following is a DFT calculation (PBE) of a relaxed structure of PmTcPH.

Cell: 4.0692 4.0692 7.5417 Å, 90.00 90.00 90.00°
Closest atoms and distances in Å follow each position.
Space group P4/nmm (No. 129, origin choice 2)
One atom of each set of equivalent atoms:
Pm 0.2500 0.2500 0.1654 (multiplicity 2)  4 H 2.39
Tc 0.2500 0.7500 0.5000 (multiplicity 2)  4 P 2.38
P 0.2500 0.2500 0.6636 (multiplicity 2)  4 Tc 2.38
H 0.2500 0.7500 0.0000 (multiplicity 2)  4 Pm 2.39

Summary:
Total magnetization in μB/f.u.: 0.000
Total DFT energy (no corrections) in eV/atom: -6.811



No. 4
The following is a DFT calculation (PBE) of a relaxed structure of Pr2PH2.

Cell: 4.0871 4.0871 6.6337 Å, 90.00 90.00 120.00°
Closest atoms and distances in Å follow each position.
Space group P-3m1 (No. 164)
One atom of each set of equivalent atoms:
Pr 0.3333 0.6667 0.2562 (multiplicity 2)  4 H 2.40-2.50
P 0.0000 0.0000 0.0000 (multiplicity 1)  6 Pr 2.91
H 0.3333 0.6667 0.6175 (multiplicity 2)  4 Pr 2.40-2.50

Summary:
Total magnetization in μB/f.u.: 0.000
Total DFT energy (no corrections) in eV/atom: -5.327



No. 5
The following is a DFT calculation (PBE) of a relaxed structure of Pr2PH.

Cell: 7.0245 4.0624 6.6890 Å, 90.00 110.25 90.00°
Closest atoms and distances in Å follow each position.
Space group C2/m (No. 12)
One atom of each set of equivalent atoms:
Pr 0.2487 0.0000 0.2423 (multiplicity 4)  3 H 2.78-2.80, 3 P 2.85
P 0.0000 0.0000 0.5000 (multiplicity 2)  6 Pr 2.85
H 0.0000 0.5000 0.0000 (multiplicity 2)  6 Pr 2.78-2.80

Summary:
Total magnetization in μB/f.u.: 0.000
Offset from the most stable computed form in meV per atom: 0.0



No. 6
The following is a DFT calculation (PBE) of a relaxed structure of PrPH.

Cell: 8.2385 4.3357 5.9903 Å, 90.00 90.00 90.00°
Closest atoms and distances in Å follow each position.
Space group Pnma (No. 62)
One atom of each set of equivalent atoms:
Pr 0.1197 0.2500 0.2497 (multiplicity 4)  3 H 2.45-2.56
P 0.1204 0.2500 0.7469 (multiplicity 4)  1 H 1.57
H 0.2173 0.7500 0.3855 (multiplicity 4)  1 P 1.57

Summary:
Total magnetization in μB/f.u.: 0.000
Offset from the most stable computed form in meV per atom: 27.9